A plane-wave DFT calculation with PBE-GGA was carried out for an optimized crystal structure of AlCuReAu.

Properties
Crystal system: cubic
DFT total energy (eV per atom): -5.45

a = 6.2450 Å, b = 6.2450 Å, c = 6.2450 Å
α = 90.00°, β = 90.00°, γ = 90.00°
Last column: nearest neighbours and their distance in Å.
Space group F-43m (No. 216)
Inequivalent atoms, fractional coordinates:
Al  0.0000  0.0000  0.0000 (multiplicity 4)  4 Re 2.70, 4 Cu 2.70
Cu  0.2500  0.2500  0.2500 (multiplicity 4)  4 Al 2.70, 4 Au 2.70
Re  0.2500  0.2500  0.7500 (multiplicity 4)  4 Al 2.70, 4 Au 2.70
Au  0.0000  0.0000  0.5000 (multiplicity 4)  4 Re 2.70, 4 Cu 2.70

***

A plane-wave DFT calculation with PBE-GGA was carried out for an optimized crystal structure of ScAlCuAu.

Properties
Crystal system: cubic
DFT total energy (eV per atom): -4.65

a = 6.4242 Å, b = 6.4242 Å, c = 6.4242 Å
α = 90.00°, β = 90.00°, γ = 90.00°
Last column: nearest neighbours and their distance in Å.
Space group F-43m (No. 216)
Inequivalent atoms, fractional coordinates:
Sc  0.0000  0.0000  0.0000 (multiplicity 4)  4 Al 2.78, 4 Au 2.78
Al  0.2500  0.2500  0.7500 (multiplicity 4)  4 Sc 2.78, 4 Cu 2.78
Cu  0.0000  0.0000  0.5000 (multiplicity 4)  4 Al 2.78, 4 Au 2.78
Au  0.2500  0.2500  0.2500 (multiplicity 4)  4 Sc 2.78, 4 Cu 2.78

***

A plane-wave DFT calculation with PBE-GGA was carried out for an optimized crystal structure of ScAlCuAu.

Properties
Crystal system: cubic
DFT total energy (eV per atom): -4.69

a = 6.3755 Å, b = 6.3755 Å, c = 6.3755 Å
α = 90.00°, β = 90.00°, γ = 90.00°
Last column: nearest neighbours and their distance in Å.
Space group F-43m (No. 216)
Inequivalent atoms, fractional coordinates:
Sc  0.0000  0.0000  0.0000 (multiplicity 4)  4 Cu 2.76, 4 Al 2.76
Al  0.2500  0.2500  0.7500 (multiplicity 4)  4 Sc 2.76, 4 Au 2.76
Cu  0.2500  0.2500  0.2500 (multiplicity 4)  4 Sc 2.76, 4 Au 2.76
Au  0.0000  0.0000  0.5000 (multiplicity 4)  4 Al 2.76, 4 Cu 2.76